# V2GaB2

Crystalline V2GaB2 at its relaxed geometry (PBE, Alexandria).

Output
- D(E_F): 9.09 states/eV per cell
- DFT total energy: -7.33 eV per atom
- DFT formation energy: -2.0 eV per formula unit

a = 5.6588 Å, b = 5.6588 Å, c = 3.1563 Å
α = 90.00°, β = 90.00°, γ = 90.00°
With the nearest neighbours (Å) after each atom.
Fractional coordinates of all 10 atoms:
B  0.3925  0.8925  0.0000  1 B 1.72
V  0.1737  0.6737  0.5000  6 B 2.27-2.36
B  0.8925  0.6075  0.0000  1 B 1.72
Ga  0.5000  0.5000  0.0000  4 B 2.30
V  0.3263  0.1737  0.5000  6 B 2.27-2.36
Ga  0.0000  0.0000  0.0000  4 B 2.30
B  0.6075  0.1075  0.0000  1 B 1.72
B  0.1075  0.3925  0.0000  1 B 1.72
V  0.6737  0.8263  0.5000  6 B 2.27-2.36
V  0.8263  0.3263  0.5000  6 B 2.27-2.36

# VGa2B

Crystalline VGa2B at its relaxed geometry (PBE, Alexandria).

Output
- D(E_F): 3.66 states/eV per cell
- DFT total energy: -5.16 eV per atom
- DFT formation energy: 1.2 eV per formula unit

a = 6.9743 Å, b = 6.9743 Å, c = 5.4145 Å
α = 49.91°, β = 49.91°, γ = 90.00°
With the nearest neighbours (Å) after each atom.
Fractional coordinates of all 8 atoms:
Ga  0.2110  0.6250  0.2500  2 B 2.16
Ga  0.3750  0.4610  0.7500  2 B 2.16
B  0.2500  0.7500  0.5000  4 Ga 2.16, 2 V 2.24
Ga  0.5390  0.1250  0.2500  2 B 2.16
V  0.7500  0.2500  0.5000  2 B 2.24
B  0.5000  0.5000  0.0000  4 Ga 2.16, 2 V 2.24
Ga  0.8750  0.7890  0.7500  2 B 2.16
V  0.0000  0.0000  0.0000  2 B 2.24

# V6Ga2B

Crystalline V6Ga2B at its relaxed geometry (PBE, Alexandria).

Output
- D(E_F): 6.11 states/eV per cell
- DFT total energy: -7.25 eV per atom
- DFT formation energy: 2.2 eV per formula unit

a = 4.0189 Å, b = 5.6075 Å, c = 6.7843 Å
α = 114.41°, β = 107.27°, γ = 90.00°
With the nearest neighbours (Å) after each atom.
Fractional coordinates of all 9 atoms:
V  0.5000  0.7753  0.0000  2 B 2.37, 5 V 2.52-2.64, 2 Ga 2.53
V  0.1466  0.9089  0.2933  1 B 2.17
V  0.1466  0.3844  0.2933  1 B 2.17
V  0.8534  0.0911  0.7067  1 B 2.17
Ga  0.6720  0.6720  0.3440  8 V 2.50-2.53
Ga  0.3280  0.3280  0.6560  8 V 2.50-2.53
V  0.5000  0.2247  0.0000  2 B 2.37, 5 V 2.52-2.64, 2 Ga 2.53
V  0.8534  0.6156  0.7067  1 B 2.17
B  0.0000  0.0000  0.0000  8 V 2.17-2.37

# VGaB2

Crystalline VGaB2 at its relaxed geometry (PBE, Alexandria).

Output
- D(E_F): 3.20 states/eV per cell
- DFT total energy: -5.73 eV per atom
- DFT formation energy: 2.6 eV per formula unit

a = 5.6588 Å, b = 5.6588 Å, c = 4.8887 Å
α = 54.64°, β = 54.64°, γ = 90.00°
With the nearest neighbours (Å) after each atom.
Fractional coordinates of all 8 atoms:
V  0.2500  0.7500  0.5000  4 B 2.14
Ga  0.7500  0.2500  0.5000  4 B 2.10
V  0.5000  0.5000  0.0000  4 B 2.14
B  0.1188  0.6250  0.2500  2 Ga 2.10, 2 V 2.14
B  0.6312  0.1250  0.2500  2 Ga 2.10, 2 V 2.14
B  0.8750  0.8812  0.7500  2 Ga 2.10, 2 V 2.14
B  0.3750  0.3688  0.7500  2 Ga 2.10, 2 V 2.14
Ga  0.0000  0.0000  0.0000  4 B 2.10

# GaBW2

Crystalline GaBW2 at its relaxed geometry (PBE, Alexandria).

Output
- D(E_F): 2.29 states/eV per cell
- Offset from the most stable computed form: 0 meV per atom
- DFT total energy: -8.68 eV per atom
- DFT formation energy: 0.9 eV per formula unit

a = 3.0638 Å, b = 3.0638 Å, c = 7.8480 Å
α = 78.74°, β = 78.74°, γ = 60.00°
With the nearest neighbours (Å) after each atom.
Fractional coordinates of all 4 atoms:
B  0.5000  0.5000  0.5000  6 W 2.15
Ga  0.0000  0.0000  0.0000  2 W 2.59
W  0.1130  0.1130  0.6610  3 B 2.15
W  0.8870  0.8870  0.3390  3 B 2.15

# GaBW2

Crystalline GaBW2 at its relaxed geometry (PBE, Alexandria).

Output
- D(E_F): 2.89 states/eV per cell
- Offset from the most stable computed form: 452 meV per atom
- DFT total energy: -8.23 eV per atom
- DFT formation energy: 2.7 eV per formula unit

a = 4.2153 Å, b = 4.2153 Å, c = 4.2153 Å
α = 60.00°, β = 60.00°, γ = 60.00°
With the nearest neighbours (Å) after each atom.
Fractional coordinates of all 4 atoms:
B  0.0000  0.0000  0.0000  8 W 2.58
W  0.2500  0.2500  0.2500  4 B 2.58, 4 Ga 2.58
Ga  0.5000  0.5000  0.5000  8 W 2.58
W  0.7500  0.7500  0.7500  4 B 2.58, 4 Ga 2.58

# GaBW

Crystalline GaBW at its relaxed geometry (PBE, Alexandria).

Output
- D(E_F): 3.07 states/eV per cell
- DFT total energy: -7.29 eV per atom
- DFT formation energy: 0.8 eV per formula unit

a = 3.1731 Å, b = 3.1462 Å, c = 13.1739 Å
α = 131.23°, β = 118.65°, γ = 59.83°
With the nearest neighbours (Å) after each atom.
Fractional coordinates of all 6 atoms:
B  0.8452  0.2024  0.9714  3 W 2.22-2.26, 3 Ga 2.23-2.25
W  0.3223  0.7107  0.3387  3 B 2.16-2.21
W  0.6279  0.1803  0.1079  3 B 2.22-2.26
Ga  0.1854  0.9591  0.5811  3 B 2.13-2.15
B  0.7560  0.3510  0.4648  3 Ga 2.13-2.15, 3 W 2.16-2.21
Ga  0.4011  0.5490  0.8357  3 B 2.23-2.25, 1 Ga 2.46

# GaB2W

Crystalline GaB2W at its relaxed geometry (PBE, Alexandria).

Output
- D(E_F): 2.67 states/eV per cell
- DFT total energy: -6.54 eV per atom
- DFT formation energy: 3.2 eV per formula unit

a = 5.7361 Å, b = 5.7361 Å, c = 4.9674 Å
α = 54.73°, β = 54.73°, γ = 90.00°
With the nearest neighbours (Å) after each atom.
Fractional coordinates of all 8 atoms:
B  0.8750  0.8591  0.7500  2 Ga 2.09, 2 W 2.21
Ga  0.5000  0.5000  0.0000  4 B 2.09
B  0.1409  0.6250  0.2500  2 Ga 2.09, 2 W 2.21
Ga  0.2500  0.7500  0.5000  4 B 2.09
W  0.7500  0.2500  0.5000  4 B 2.21
B  0.3750  0.3909  0.7500  2 Ga 2.09, 2 W 2.21
W  0.0000  0.0000  0.0000  4 B 2.21
B  0.6091  0.1250  0.2500  2 Ga 2.09, 2 W 2.21